Compound: GdHoPbAu
Source: the Alexandria database
Functional: PBE
Structure: optimized geometry

Summary:
Fermi-level density of states (states/eV/f.u.): 4.285
Spin magnetization (μB/f.u.): 7.86
Calculated formation energy (eV/atom): -0.6232
E (hartree per atom): -0.2585

Cell: 5.270 5.270 5.270 Å, 60.00 60.00 60.00°
Fractional coordinates of all 4 atoms:
Gd1 0.000 0.000 0.000
Ho1 0.500 0.500 0.500
Pb1 0.750 0.750 0.750
Au1 0.250 0.250 0.250

---

Compound: GdHoRhAu
Source: the Alexandria database
Functional: PBE
Structure: optimized geometry

Summary:
Fermi-level density of states (states/eV/f.u.): 3.663
Spin magnetization (μB/f.u.): 7.24
Calculated formation energy (eV/atom): -0.8114
E (hartree per atom): -0.2989

Cell: 4.991 4.991 4.991 Å, 60.00 60.00 60.00°
Fractional coordinates of all 4 atoms:
Gd1 0.000 0.000 0.000
Ho1 0.500 0.500 0.500
Rh1 0.250 0.250 0.250
Au1 0.750 0.750 0.750

---

Compound: GdHoRuAu
Source: the Alexandria database
Functional: PBE
Structure: optimized geometry

Summary:
Fermi-level density of states (states/eV/f.u.): 2.147
Spin magnetization (μB/f.u.): 6.97
Calculated formation energy (eV/atom): -0.5635
E (hartree per atom): -0.3075

Cell: 4.962 4.962 4.962 Å, 60.00 60.00 60.00°
Fractional coordinates of all 4 atoms:
Gd1 0.000 0.000 0.000
Ho1 0.500 0.500 0.500
Ru1 0.250 0.250 0.250
Au1 0.750 0.750 0.750

---

Compound: GdHoScAu
Source: the Alexandria database
Functional: PBE
Structure: optimized geometry

Summary:
Fermi-level density of states (states/eV/f.u.): 5.691
Spin magnetization (μB/f.u.): 8.02
Calculated formation energy (eV/atom): -0.1996
E (hartree per atom): -0.2670

Cell: 5.209 5.209 5.209 Å, 60.00 60.00 60.00°
Fractional coordinates of all 4 atoms:
Gd1 0.000 0.000 0.000
Ho1 0.500 0.500 0.500
Sc1 0.250 0.250 0.250
Au1 0.750 0.750 0.750

---

Compound: GdHoSiAu
Source: the Alexandria database
Functional: PBE
Structure: optimized geometry

Summary:
Fermi-level density of states (states/eV/f.u.): 3.423
Spin magnetization (μB/f.u.): 7.71
E (hartree per atom): -0.2762
Formation energy from raw total energies (meV per atom): -675

Cell: 5.053 5.053 5.053 Å, 60.00 60.00 60.00°
Fractional coordinates of all 4 atoms:
Gd1 0.000 0.000 0.000
Ho1 0.500 0.500 0.500
Si1 0.750 0.750 0.750
Au1 0.250 0.250 0.250

---

Compound: GdHoTcAu
Source: the Alexandria database
Functional: PBE
Structure: optimized geometry

Summary:
Fermi-level density of states (states/eV/f.u.): 2.037
Spin magnetization (μB/f.u.): 7.03
Calculated formation energy (eV/atom): -0.3404
E (hartree per atom): -0.3093

Cell: 4.965 4.965 4.965 Å, 60.00 60.00 60.00°
Fractional coordinates of all 4 atoms:
Gd1 0.000 0.000 0.000
Ho1 0.500 0.500 0.500
Tc1 0.250 0.250 0.250
Au1 0.750 0.750 0.750

---

Compound: GdHoZnAu
Source: the Alexandria database
Functional: PBE
Structure: optimized geometry

Summary:
Fermi-level density of states (states/eV/f.u.): 3.112
Spin magnetization (μB/f.u.): 7.08
Calculated formation energy (eV/atom): -0.5869
E (hartree per atom): -0.2348

Cell: 5.092 5.092 5.092 Å, 60.00 60.00 60.00°
Fractional coordinates of all 4 atoms:
Gd1 0.000 0.000 0.000
Ho1 0.500 0.500 0.500
Zn1 0.250 0.250 0.250
Au1 0.750 0.750 0.750

---

Compound: GdAuI2
Source: the Alexandria database
Functional: PBE
Structure: optimized geometry

Summary:
Fermi-level density of states (states/eV/f.u.): 6.056
Spin magnetization (μB/f.u.): 7.40
E (hartree per atom): -0.1915
Formation energy from raw total energies (meV per atom): -97

Cell: 9.819 9.819 9.819 Å, 24.81 24.81 24.81°
Fractional coordinates of all 4 atoms:
Gd1 0.000 0.000 0.000
Au1 0.500 0.500 0.500
I1 0.105 0.105 0.105
I2 0.895 0.895 0.895

---

Compound: GdIn2Au
Source: the Alexandria database
Functional: PBE
Structure: optimized geometry

Summary:
Fermi-level density of states (states/eV/f.u.): 1.727
Spin magnetization (μB/f.u.): 7.18
Calculated formation energy (eV/atom): -0.4907
E (hartree per atom): -0.2278

Cell: 4.511 4.511 4.617 Å, 90.00 90.00 90.00°
Fractional coordinates of all 4 atoms:
Gd1 0.000 0.000 0.000
In1 0.000 0.500 0.500
In2 0.500 0.000 0.500
Au1 0.500 0.500 0.000

---

Compound: GdInAu
Source: the Alexandria database
Functional: PBE
Structure: optimized geometry

Summary:
Fermi-level density of states (states/eV/f.u.): 1.481
Spin magnetization (μB/f.u.): 7.14
Calculated formation energy (eV/atom): -0.7416
E (hartree per atom): -0.2734

Cell: 7.760 7.760 4.085 Å, 90.00 90.00 120.00°
Fractional coordinates of all 9 atoms:
Gd1 0.000 0.592 0.000
Gd2 0.408 0.408 0.000
Gd3 0.592 0.000 0.000
In1 0.000 0.258 0.500
In2 0.258 0.000 0.500
In3 0.742 0.742 0.500
Au1 0.000 0.000 0.000
Au2 0.333 0.667 0.500
Au3 0.667 0.333 0.500

---

Compound: GdInAu
Source: the Alexandria database
Functional: PBE
Structure: optimized geometry

Summary:
Fermi-level density of states (states/eV/f.u.): 1.648
Spin magnetization (μB/f.u.): 7.29
Calculated formation energy (eV/atom): -0.6814
E (hartree per atom): -0.2712

Cell: 4.831 4.831 3.518 Å, 90.00 90.00 120.00°
Fractional coordinates of all 3 atoms:
Gd1 0.000 0.000 0.000
In1 0.667 0.333 0.500
Au1 0.333 0.667 0.500

---

Compound: GdInAu
Source: the Alexandria database
Functional: PBE
Structure: optimized geometry

Summary:
Fermi-level density of states (states/eV/f.u.): 1.896
Spin magnetization (μB/f.u.): 7.15
Calculated formation energy (eV/atom): -0.5531
E (hartree per atom): -0.2665

Cell: 6.300 6.300 6.300 Å, 147.60 147.60 46.48°
Fractional coordinates of all 3 atoms:
Gd1 0.000 0.000 0.000
In1 0.306 0.306 0.000
Au1 0.658 0.658 0.000

---

Compound: GdInAu2
Source: the Alexandria database
Functional: PBE
Structure: optimized geometry

Summary:
Fermi-level density of states (states/eV/f.u.): 2.640
Spin magnetization (μB/f.u.): 7.19
Calculated formation energy (eV/atom): -0.5718
E (hartree per atom): -0.2358

Cell: 3.663 3.663 6.777 Å, 90.00 90.00 90.00°
Fractional coordinates of all 4 atoms:
Gd1 0.000 0.000 0.000
In1 0.000 0.000 0.500
Au1 0.500 0.500 0.248
Au2 0.500 0.500 0.752

---

Compound: GdInAu
Source: the Alexandria database
Functional: PBE
Structure: optimized geometry

Summary:
Fermi-level density of states (states/eV/f.u.): 3.380
Spin magnetization (μB/f.u.): 7.71
Calculated formation energy (eV/atom): -0.6433
E (hartree per atom): -0.2698

Cell: 4.834 4.834 4.834 Å, 60.00 60.00 60.00°
Fractional coordinates of all 3 atoms:
Gd1 0.000 0.000 0.000
In1 0.500 0.500 0.500
Au1 0.250 0.250 0.250

---

Compound: GdInAu4
Source: the Alexandria database
Functional: PBE
Structure: optimized geometry

Summary:
Fermi-level density of states (states/eV/f.u.): 3.545
Spin magnetization (μB/f.u.): 7.06
Calculated formation energy (eV/atom): -0.4455
E (hartree per atom): -0.1997

Cell: 5.628 5.628 5.628 Å, 60.00 60.00 60.00°
Fractional coordinates of all 6 atoms:
Gd1 0.000 0.000 0.000
In1 0.250 0.250 0.250
Au1 0.125 0.625 0.625
Au2 0.625 0.125 0.625
Au3 0.625 0.625 0.125
Au4 0.625 0.625 0.625

---

Compound: GdIn2Au
Source: the Alexandria database
Functional: PBE
Structure: optimized geometry

Summary:
Fermi-level density of states (states/eV/f.u.): 3.938
Spin magnetization (μB/f.u.): 7.76
Calculated formation energy (eV/atom): 0.0375
E (hartree per atom): -0.2084

Cell: 10.828 10.828 10.828 Å, 18.27 18.27 18.27°
Fractional coordinates of all 4 atoms:
Gd1 0.000 0.000 0.000
In1 0.100 0.100 0.100
In2 0.900 0.900 0.900
Au1 0.500 0.500 0.500

---

Compound: GdIn2Au
Source: the Alexandria database
Functional: PBE
Structure: optimized geometry

Summary:
Fermi-level density of states (states/eV/f.u.): 2.030
Spin magnetization (μB/f.u.): 7.53
Calculated formation energy (eV/atom): -0.3631
E (hartree per atom): -0.2231

Cell: 3.486 3.486 7.725 Å, 90.00 90.00 90.00°
Fractional coordinates of all 4 atoms:
Gd1 0.000 0.000 0.000
In1 0.500 0.500 0.284
In2 0.500 0.500 0.716
Au1 0.000 0.000 0.500

---

Compound: GdInAu2
Source: the Alexandria database
Functional: PBE
Structure: optimized geometry

Summary:
Fermi-level density of states (states/eV/f.u.): 2.162
Spin magnetization (μB/f.u.): 7.11
Calculated formation energy (eV/atom): -0.6920
E (hartree per atom): -0.2402

Cell: 4.982 4.982 4.982 Å, 60.00 60.00 60.00°
Fractional coordinates of all 4 atoms:
Gd1 0.000 0.000 0.000
In1 0.500 0.500 0.500
Au1 0.250 0.250 0.250
Au2 0.750 0.750 0.750

---

Compound: LiGdInAu
Source: the Alexandria database
Functional: PBE
Structure: optimized geometry

Summary:
Fermi-level density of states (states/eV/f.u.): 1.530
Spin magnetization (μB/f.u.): 7.07
Calculated formation energy (eV/atom): -0.6100
E (hartree per atom): -0.2246

Cell: 4.888 4.888 4.888 Å, 60.00 60.00 60.00°
Fractional coordinates of all 4 atoms:
Li1 0.000 0.000 0.000
Gd1 0.750 0.750 0.750
In1 0.250 0.250 0.250
Au1 0.500 0.500 0.500

---

Compound: GdLuInAu
Source: the Alexandria database
Functional: PBE
Structure: optimized geometry

Summary:
Fermi-level density of states (states/eV/f.u.): 3.404
Spin magnetization (μB/f.u.): 7.20
Calculated formation energy (eV/atom): -0.6111
E (hartree per atom): -0.2486

Cell: 5.195 5.195 5.195 Å, 60.00 60.00 60.00°
Fractional coordinates of all 4 atoms:
Gd1 0.000 0.000 0.000
Lu1 0.500 0.500 0.500
In1 0.250 0.250 0.250
Au1 0.750 0.750 0.750